Entry 1:
A plane-wave DFT calculation with GGA-PBE was carried out for LaPrFeCu after structural relaxation.

```
LaPrFeCu
1.0
5.066 0.000 0.000
2.533 4.388 0.000
2.533 1.463 4.137
Pr Fe Cu La
1 1 1 1
Cartesian
5.066 2.925 2.068
7.600 4.388 3.102
2.533 1.463 1.034
0.000 0.000 0.000
```

Properties
Space group: F-43m, No. 216
Calculated formation energy: 110.3 meV per atom

Entry 2:
A plane-wave DFT calculation with GGA-PBE was carried out for Th3TeOsN after structural relaxation.

```
Th3TeOsN
1.0
-3.105 2.338 1.372
-0.545 -5.148 7.539
6.070 6.580 2.527
Th Te Os N
6 2 2 2
Cartesian
-1.911 -1.769 7.978
4.330 5.538 3.460
1.637 -0.574 7.782
0.782 4.344 3.656
-1.611 0.442 4.889
4.030 3.327 6.549
0.545 1.183 2.313
1.875 2.586 9.125
-0.229 -1.858 5.743
2.649 5.627 5.695
2.793 4.101 2.429
-0.374 -0.332 9.009
```

Properties
Space group: P2_1/m, No. 11
E_form (uncorrected): -1.006 eV per atom

Entry 3:
A plane-wave DFT calculation with GGA-PBE was carried out for HgIr2Cl after structural relaxation.

```
HgIr2Cl
1.0
4.648 0.000 0.000
0.000 2.959 -0.001
0.000 -0.081 4.975
Ir Hg Cl
2 1 1
Cartesian
0.000 0.037 0.064
0.000 1.402 2.423
2.324 2.158 3.731
2.324 0.719 1.244
```

Properties
Space group: P2/m, No. 10
Polymorph energy (0 for the lowest one): 2.00 eV/f.u.
E_form (uncorrected): 0.807 eV per atom

Entry 4:
A plane-wave DFT calculation with GGA-PBE was carried out for CrSiOs after structural relaxation.

```
CrSiOs
1.0
-0.622 1.714 4.031
-1.755 -2.646 3.081
3.373 0.408 -2.834
Cr Os Si
1 1 1
Cartesian
-0.006 -0.002 0.018
-0.787 -0.308 2.355
-1.584 -0.621 4.740
```

Properties
Space group: Imm2, No. 44
E_form (uncorrected): -0.096 eV per atom

Entry 5:
A plane-wave DFT calculation with GGA-PBE was carried out for Ce6In5Pb after structural relaxation.

```
Ce6In5Pb
1.0
4.656 -0.003 -1.305
-3.298 7.864 -2.829
0.007 0.127 8.984
Pb Ce In
1 6 5
Cartesian
0.000 0.000 0.000
0.895 0.703 3.193
1.577 4.692 5.616
2.670 2.001 0.564
-1.306 5.987 4.286
-0.212 3.295 -0.765
0.469 7.285 1.657
1.771 1.444 6.317
-1.097 2.710 5.040
0.682 3.994 2.425
2.461 5.278 -0.190
-0.407 6.543 -1.467
```

Properties
Space group: Immm, No. 71
Calculated formation energy: -368.3 meV per atom

Entry 6:
A plane-wave DFT calculation with GGA-PBE was carried out for NaSmHgAu after structural relaxation.

```
NaSmHgAu
1.0
-0.203 -4.989 -1.242
2.753 -1.778 -3.966
4.072 -3.030 0.847
Na Au Hg Sm
1 1 1 1
Cartesian
4.966 -7.348 -3.271
0.000 0.000 0.000
3.311 -4.899 -2.180
1.655 -2.449 -1.090
```

Properties
Space group: F-43m, No. 216
Calculated formation energy: -460.9 meV per atom

Entry 7:
A plane-wave DFT calculation with GGA-PBE was carried out for Cu2Pb2Se after structural relaxation.

```
Cu2Pb2Se
1.0
-5.474 0.372 4.447
1.204 -6.654 2.039
2.636 1.435 3.124
Pb Cu Se
4 4 2
Cartesian
1.191 -3.681 3.688
-1.355 -4.552 6.236
-2.826 -1.166 5.922
-0.280 -0.295 3.375
-1.003 -5.688 3.458
-4.043 -3.827 5.168
-3.267 -0.594 3.028
-0.227 -2.455 1.318
0.000 0.000 0.000
-2.135 -3.141 3.243
```

Properties
Space group: P4/mbm, No. 127
Polymorph energy (0 for the lowest one): 0.00 eV/f.u.
E_form (uncorrected): 0.080 eV per atom

Entry 8:
A plane-wave DFT calculation with GGA-PBE was carried out for VIrS3 after structural relaxation.

```
VIrS3
1.0
4.640 0.000 0.000
0.000 4.640 0.000
0.000 0.000 4.640
S Ir V
3 1 1
Cartesian
0.000 2.320 0.000
0.000 0.000 2.320
2.320 0.000 0.000
0.000 0.000 0.000
2.320 2.320 2.320
```

Properties
Space group: Pm-3m, No. 221
Polymorph energy (0 for the lowest one): 0.00 eV/f.u.
E_form (uncorrected): 0.615 eV per atom